# ScPb2ClF | Alexandria via LeMat-Bulk | GGA-PBE | relaxed
# * total magnetic moment: 0.0001 μB per atom
# * Fermi-level density of states: 1.536 states/eV per atom
# * crystal system: tetragonal
# * space-group type: P4/mmm, No. 123
# * ΔE_f (raw): -57.9 kJ/mol of atoms
data_ScPb2ClF
_chemical_formula_sum 'Sc1 Pb2 Cl1 F1'
_cell_length_a 4.7775
_cell_length_b 5.5527
_cell_length_c 4.7775
_cell_angle_alpha 90.00
_cell_angle_beta 90.00
_cell_angle_gamma 90.00
_space_group_name_H-M_alt 'P 1'
_space_group_IT_number 1
loop_
_space_group_symop_operation_xyz
'x,y,z'
loop_
_atom_site_label
_atom_site_type_symbol
_atom_site_fract_x
_atom_site_fract_y
_atom_site_fract_z
_atom_site_occupancy
Sc1 Sc 0.5000 0.5000 0.5000 1
Pb1 Pb 0.0000 0.0000 0.5000 1
Pb2 Pb 0.5000 0.0000 0.0000 1
F1 F 0.0000 0.0000 0.0000 1
Cl1 Cl 0.0000 0.5000 0.0000 1